# 1
This record from the Alexandria database describes an optimized crystal structure of LiErNi. The functional is PBE.

Fermi-level density of states: 0.689 states/eV per atom
Crystal system: tetragonal
Calculated volume: 17.88 Å³/atom
E above lowest polymorph: 113.5 meV/atom

Unit cell a=3.394 b=3.394 c=9.317 alpha=90.00 beta=90.00 gamma=90.00
Space group I4mm (No. 107)
Symmetry-distinct sites (fractional):
Li1 0.000 0.000 0.000 x2
Er1 0.000 0.000 0.293 x2
Ni1 0.000 0.000 0.639 x2

***

# 2
This record from the Alexandria database describes an optimized crystal structure of LiErNi2. The functional is PBE.

Fermi-level density of states: 0.242 states/eV per atom
Crystal system: tetragonal
Calculated volume: 15.24 Å³/atom

Unit cell a=3.283 b=3.283 c=5.658 alpha=90.00 beta=90.00 gamma=90.00
Space group P4/mmm (No. 123)
Symmetry-distinct sites (fractional):
Li1 0.000 0.000 0.000 x1
Er1 0.000 0.000 0.500 x1
Ni1 0.500 0.500 0.221 x2

***

Number 1: E -25.196 eV for the cell shown. Number 2: E -18.782 eV for the cell shown.